# 1
NiIrCl2: relaxed, PBE.

Values from the calculation:
Energy relative to the lowest polymorph listed for this composition: 534 meV/atom

Cell lengths 2.921, 5.659, 7.814 Å; angles 90.00, 90.00, 90.00 degrees
Space group Immm (No. 71)
Symmetry-distinct sites (fractional):
Ni 0.000 0.000 0.000 (multiplicity 2)
Ir 0.000 0.000 0.500 (multiplicity 2)
Cl 0.000 0.500 0.251 (multiplicity 4)

# 2
Ni2IrCl: relaxed, PBE.

Values from the calculation:
Energy relative to the lowest polymorph listed for this composition: 473 meV/atom

Cell lengths 6.643, 6.643, 4.980 Å; angles 90.00, 90.00, 90.00 degrees
Space group I-42d (No. 122)
Symmetry-distinct sites (fractional):
Ni 0.226 0.250 0.125 (multiplicity 8)
Ir 0.000 0.000 0.500 (multiplicity 4)
Cl 0.000 0.000 0.000 (multiplicity 4)

# 3
Ni2IrCl: relaxed, PBE.

Values from the calculation:
Energy relative to the lowest polymorph listed for this composition: 203 meV/atom

Cell lengths 2.715, 4.483, 4.516 Å; angles 90.00, 90.00, 90.00 degrees
Space group Pmm2 (No. 25)
Symmetry-distinct sites (fractional):
Ni 0.000 0.000 0.000 (multiplicity 1)
Ni 0.000 0.500 0.461 (multiplicity 1)
Ir 0.500 0.000 0.498 (multiplicity 1)
Cl 0.000 0.500 0.963 (multiplicity 1)

# 4
NiIrCl3: relaxed, PBE.

Cell lengths 4.556, 4.556, 4.556 Å; angles 90.00, 90.00, 90.00 degrees
Space group Pm-3m (No. 221)
Symmetry-distinct sites (fractional):
Ni 0.000 0.000 0.000 (multiplicity 1)
Ir 0.500 0.500 0.500 (multiplicity 1)
Cl 0.000 0.000 0.500 (multiplicity 3)

# 5
NiIr2Cl: relaxed, PBE.

Values from the calculation:
Energy relative to the lowest polymorph listed for this composition: 473 meV/atom

Cell lengths 2.737, 4.496, 9.537 Å; angles 90.00, 90.00, 90.00 degrees
Space group Imm2 (No. 44)
Symmetry-distinct sites (fractional):
Ni 0.000 0.000 0.000 (multiplicity 2)
Ir 0.000 0.000 0.473 (multiplicity 2)
Ir 0.000 0.500 0.739 (multiplicity 2)
Cl 0.000 0.500 0.222 (multiplicity 2)

# 6
Ni3IrCl: relaxed, PBE.

Values from the calculation:
Energy relative to the lowest polymorph listed for this composition: 0 meV/atom

Cell lengths 4.081, 4.081, 4.081 Å; angles 90.00, 90.00, 90.00 degrees
Space group Pm-3m (No. 221)
Symmetry-distinct sites (fractional):
Ni 0.000 0.000 0.500 (multiplicity 3)
Ir 0.500 0.500 0.500 (multiplicity 1)
Cl 0.000 0.000 0.000 (multiplicity 1)

# 7
NiIrCl2: relaxed, PBE.

Values from the calculation:
Energy relative to the lowest polymorph listed for this composition: 853 meV/atom

Cell lengths 6.195, 6.195, 6.195 Å; angles 90.00, 90.00, 90.00 degrees
Space group Fm-3m (No. 225)
Symmetry-distinct sites (fractional):
Ni 0.000 0.000 0.000 (multiplicity 4)
Ir 0.000 0.000 0.500 (multiplicity 4)
Cl 0.250 0.250 0.250 (multiplicity 8)

# 8
NiIr2Cl: relaxed, PBE.

Values from the calculation:
Energy relative to the lowest polymorph listed for this composition: 199 meV/atom

Cell lengths 2.732, 4.918, 8.706 Å; angles 90.00, 90.00, 90.00 degrees
Space group Cmm2 (No. 35)
Symmetry-distinct sites (fractional):
Ni 0.000 0.000 0.000 (multiplicity 2)
Ir 0.000 0.000 0.496 (multiplicity 2)
Ir 0.000 0.500 0.754 (multiplicity 2)
Cl 0.000 0.500 0.214 (multiplicity 2)

Number 1: N(E_F) 1.23 states/eV/atom, formation energy without anion corrections 59.2 kJ per mole of atoms, V 16.15 Å³/atom. Number 2: N(E_F) 0.94 states/eV/atom, formation energy without anion corrections 63.9 kJ per mole of atoms, V 13.74 Å³/atom. Number 3: N(E_F) 1.61 states/eV/atom, formation energy without anion corrections 37.9 kJ per mole of atoms, V 13.74 Å³/atom. Number 4: N(E_F) 1.23 states/eV/atom, formation energy without anion corrections 73.0 kJ per mole of atoms, V 18.92 Å³/atom. Number 5: N(E_F) 0.99 states/eV/atom, formation energy without anion corrections 74.0 kJ per mole of atoms, V 14.67 Å³/atom. Number 6: N(E_F) 1.05 states/eV/atom, formation energy without anion corrections 79.4 kJ per mole of atoms, V 13.59 Å³/atom. Number 7: N(E_F) 1.38 states/eV/atom, formation energy without anion corrections 90.0 kJ per mole of atoms, V 14.86 Å³/atom. Number 8: N(E_F) 1.30 states/eV/atom, formation energy without anion corrections 47.5 kJ per mole of atoms, V 14.62 Å³/atom.